<A>
A relaxed AlVCrRe crystal. Source: Alexandria via LeMat-Bulk, functional PBE.

Output
**Symmetry**: F-43m (216)

The structure in CIF format:
```
data_AlVCrRe
_cell_length_a 4.258
_cell_length_b 4.258
_cell_length_c 4.258
_cell_angle_alpha 60.00
_cell_angle_beta 60.00
_cell_angle_gamma 60.00
_space_group_name_H-M_alt 'P 1'
_space_group_IT_number 1
_space_group_name_Hall 'P 1'
loop_
_atom_site_label
_atom_site_type_symbol
_atom_site_fract_x
_atom_site_fract_y
_atom_site_fract_z
_atom_site_occupancy
Al1 Al 0.000 0.000 0.000 1
V1 V 0.250 0.250 0.250 1
Cr1 Cr 0.500 0.500 0.500 1
Re1 Re 0.750 0.750 0.750 1
```



<B>
A relaxed AlVCrRe crystal. Source: Alexandria via LeMat-Bulk, functional PBE.

Output
**Symmetry**: F-43m (216)

The structure in CIF format:
```
data_AlVCrRe
_cell_length_a 4.290
_cell_length_b 4.290
_cell_length_c 4.290
_cell_angle_alpha 60.00
_cell_angle_beta 60.00
_cell_angle_gamma 60.00
_space_group_name_H-M_alt 'P 1'
_space_group_IT_number 1
_space_group_name_Hall 'P 1'
loop_
_atom_site_label
_atom_site_type_symbol
_atom_site_fract_x
_atom_site_fract_y
_atom_site_fract_z
_atom_site_occupancy
Al1 Al 0.000 0.000 0.000 1
V1 V 0.500 0.500 0.500 1
Cr1 Cr 0.750 0.750 0.750 1
Re1 Re 0.250 0.250 0.250 1
```



Most stable: <B>. Least stable: <A>.



<A>
A relaxed AlCr3Ru crystal. Source: Alexandria via LeMat-Bulk, functional PBE.

Output
**Symmetry**: Pm-3m (221)

The structure in CIF format:
```
data_AlCr3Ru
_cell_length_a 4.620
_cell_length_b 4.620
_cell_length_c 4.620
_cell_angle_alpha 90.00
_cell_angle_beta 90.00
_cell_angle_gamma 90.00
_space_group_name_H-M_alt 'P 1'
_space_group_IT_number 1
_space_group_name_Hall 'P 1'
loop_
_atom_site_label
_atom_site_type_symbol
_atom_site_fract_x
_atom_site_fract_y
_atom_site_fract_z
_atom_site_occupancy
Al1 Al 0.000 0.000 0.000 1
Cr1 Cr 0.000 0.500 0.500 1
Cr2 Cr 0.500 0.000 0.500 1
Cr3 Cr 0.500 0.500 0.000 1
Ru1 Ru 0.500 0.500 0.500 1
```



<B>
A relaxed AlCr3Ru crystal. Source: Alexandria via LeMat-Bulk, functional PBE.

Output
**Symmetry**: Pm-3m (221)

The structure in CIF format:
```
data_AlCr3Ru
_cell_length_a 4.279
_cell_length_b 4.279
_cell_length_c 4.279
_cell_angle_alpha 90.00
_cell_angle_beta 90.00
_cell_angle_gamma 90.00
_space_group_name_H-M_alt 'P 1'
_space_group_IT_number 1
_space_group_name_Hall 'P 1'
loop_
_atom_site_label
_atom_site_type_symbol
_atom_site_fract_x
_atom_site_fract_y
_atom_site_fract_z
_atom_site_occupancy
Al1 Al 0.000 0.000 0.000 1
Cr1 Cr 0.000 0.000 0.500 1
Cr2 Cr 0.000 0.500 0.000 1
Cr3 Cr 0.500 0.000 0.000 1
Ru1 Ru 0.500 0.500 0.500 1
```



Most stable: <A>. Least stable: <B>.



<A>
A relaxed Al3CrS crystal. Source: Alexandria via LeMat-Bulk, functional PBE.

Output
**Symmetry**: Pm-3m (221)

The structure in CIF format:
```
data_Al3CrS
_cell_length_a 4.515
_cell_length_b 4.515
_cell_length_c 4.515
_cell_angle_alpha 90.00
_cell_angle_beta 90.00
_cell_angle_gamma 90.00
_space_group_name_H-M_alt 'P 1'
_space_group_IT_number 1
_space_group_name_Hall 'P 1'
loop_
_atom_site_label
_atom_site_type_symbol
_atom_site_fract_x
_atom_site_fract_y
_atom_site_fract_z
_atom_site_occupancy
Al1 Al 0.000 0.000 0.500 1
Al2 Al 0.000 0.500 0.000 1
Al3 Al 0.500 0.000 0.000 1
Cr1 Cr 0.500 0.500 0.500 1
S1 S 0.000 0.000 0.000 1
```



<B>
A relaxed Al3CrS crystal. Source: Alexandria via LeMat-Bulk, functional PBE.

Output
**Symmetry**: Pm-3m (221)

The structure in CIF format:
```
data_Al3CrS
_cell_length_a 4.842
_cell_length_b 4.842
_cell_length_c 4.842
_cell_angle_alpha 90.00
_cell_angle_beta 90.00
_cell_angle_gamma 90.00
_space_group_name_H-M_alt 'P 1'
_space_group_IT_number 1
_space_group_name_Hall 'P 1'
loop_
_atom_site_label
_atom_site_type_symbol
_atom_site_fract_x
_atom_site_fract_y
_atom_site_fract_z
_atom_site_occupancy
Al1 Al 0.000 0.000 0.500 1
Al2 Al 0.000 0.500 0.000 1
Al3 Al 0.500 0.000 0.000 1
Cr1 Cr 0.000 0.000 0.000 1
S1 S 0.500 0.500 0.500 1
```



Most stable: <B>. Least stable: <A>.



<A>
A relaxed AlCrSb crystal. Source: Alexandria via LeMat-Bulk, functional PBE.

Output
**Symmetry**: Fmmm (69)

The structure in CIF format:
```
data_AlCrSb
_cell_length_a 6.727
_cell_length_b 6.723
_cell_length_c 4.239
_cell_angle_alpha 71.69
_cell_angle_beta 71.57
_cell_angle_gamma 36.74
_space_group_name_H-M_alt 'P 1'
_space_group_IT_number 1
_space_group_name_Hall 'P 1'
loop_
_atom_site_label
_atom_site_type_symbol
_atom_site_fract_x
_atom_site_fract_y
_atom_site_fract_z
_atom_site_occupancy
Al1 Al 0.124 0.124 0.876 1
Al2 Al 0.876 0.876 0.124 1
Cr1 Cr 0.000 0.000 0.500 1
Cr2 Cr 0.500 0.500 0.000 1
Sb1 Sb 0.353 0.353 0.647 1
Sb2 Sb 0.647 0.647 0.353 1
```



<B>
A relaxed AlCrSb crystal. Source: Alexandria via LeMat-Bulk, functional PBE.

Output
**Symmetry**: F-43m (216)

The structure in CIF format:
```
data_AlCrSb
_cell_length_a 4.454
_cell_length_b 4.454
_cell_length_c 4.454
_cell_angle_alpha 60.00
_cell_angle_beta 60.00
_cell_angle_gamma 60.00
_space_group_name_H-M_alt 'P 1'
_space_group_IT_number 1
_space_group_name_Hall 'P 1'
loop_
_atom_site_label
_atom_site_type_symbol
_atom_site_fract_x
_atom_site_fract_y
_atom_site_fract_z
_atom_site_occupancy
Al1 Al 0.000 0.000 0.000 1
Cr1 Cr 0.750 0.750 0.750 1
Sb1 Sb 0.500 0.500 0.500 1
```



Most stable: <A>. Least stable: <B>.



<A>
A relaxed AlCrSb crystal. Source: Alexandria via LeMat-Bulk, functional PBE.

Output
**Symmetry**: P3m1 (156)

The structure in CIF format:
```
data_AlCrSb
_cell_length_a 4.771
_cell_length_b 4.771
_cell_length_c 3.058
_cell_angle_alpha 90.00
_cell_angle_beta 90.00
_cell_angle_gamma 120.00
_space_group_name_H-M_alt 'P 1'
_space_group_IT_number 1
_space_group_name_Hall 'P 1'
loop_
_atom_site_label
_atom_site_type_symbol
_atom_site_fract_x
_atom_site_fract_y
_atom_site_fract_z
_atom_site_occupancy
Al1 Al 0.000 0.000 0.000 1
Cr1 Cr 0.667 0.333 0.353 1
Sb1 Sb 0.333 0.667 0.760 1
```



<B>
A relaxed AlCrSb crystal. Source: Alexandria via LeMat-Bulk, functional PBE.

Output
**Symmetry**: I4mm (107)

The structure in CIF format:
```
data_AlCrSb
_cell_length_a 4.868
_cell_length_b 4.868
_cell_length_c 4.868
_cell_angle_alpha 139.38
_cell_angle_beta 139.38
_cell_angle_gamma 58.79
_space_group_name_H-M_alt 'P 1'
_space_group_IT_number 1
_space_group_name_Hall 'P 1'
loop_
_atom_site_label
_atom_site_type_symbol
_atom_site_fract_x
_atom_site_fract_y
_atom_site_fract_z
_atom_site_occupancy
Al1 Al 0.000 0.000 0.000 1
Cr1 Cr 0.655 0.655 0.000 1
Sb1 Sb 0.317 0.317 0.000 1
```



Most stable: <B>. Least stable: <A>.



<A>
A relaxed AlCrSb crystal. Source: Alexandria via LeMat-Bulk, functional PBE.

Output
**Symmetry**: P3m1 (156)

The structure in CIF format:
```
data_AlCrSb
_cell_length_a 3.136
_cell_length_b 3.136
_cell_length_c 6.297
_cell_angle_alpha 90.00
_cell_angle_beta 90.00
_cell_angle_gamma 120.00
_space_group_name_H-M_alt 'P 1'
_space_group_IT_number 1
_space_group_name_Hall 'P 1'
loop_
_atom_site_label
_atom_site_type_symbol
_atom_site_fract_x
_atom_site_fract_y
_atom_site_fract_z
_atom_site_occupancy
Al1 Al 0.000 0.000 0.000 1
Cr1 Cr 0.667 0.333 0.288 1
Sb1 Sb 0.333 0.667 0.591 1
```



<B>
A relaxed AlCrSb crystal. Source: Alexandria via LeMat-Bulk, functional PBE.

Output
**Symmetry**: I4mm (107)

The structure in CIF format:
```
data_AlCrSb
_cell_length_a 6.521
_cell_length_b 6.521
_cell_length_c 6.521
_cell_angle_alpha 152.84
_cell_angle_beta 152.84
_cell_angle_gamma 38.79
_space_group_name_H-M_alt 'P 1'
_space_group_IT_number 1
_space_group_name_Hall 'P 1'
loop_
_atom_site_label
_atom_site_type_symbol
_atom_site_fract_x
_atom_site_fract_y
_atom_site_fract_z
_atom_site_occupancy
Al1 Al 0.000 0.000 0.000 1
Cr1 Cr 0.623 0.623 0.000 1
Sb1 Sb 0.273 0.273 0.000 1
```



Most stable: <B>. Least stable: <A>.